# 1
Compound: BaSrAg
Source: Alexandria
Functional: PBE
Structure: optimized geometry

Properties
E_form in eV per atom: -0.175
Raw total energy in eV per atom: -2.327
Energy relative to the lowest polymorph listed for this composition in meV/atom: 19
Calculated volume in Å³ per cell: 123
Crystal system: tetragonal

abc: 7.887 7.888 4.094
angles: 74.94 74.97 30.09
Element x y z (fractional)
Sr  0.629  0.629  0.371
Ba  0.365  0.365  0.635
Ag  0.006  0.006  0.994

# 2
Compound: Ba2Sr2Ag3
Source: Alexandria
Functional: PBE
Structure: optimized geometry

Properties
E_form in eV per atom: -0.189
Raw total energy in eV per atom: -2.441
Calculated volume in Å³ per cell: 281
Crystal system: monoclinic

abc: 4.830 6.906 8.791
angles: 93.43 105.95 90.00
Element x y z (fractional)
Ba  0.357  0.868  0.714
Ba  0.643  0.132  0.286
Sr  0.106  0.629  0.212
Sr  0.894  0.371  0.788
Ag  0.000  0.000  0.000
Ag  0.266  0.380  0.531
Ag  0.734  0.620  0.469

# 3
Compound: BaSrAg3
Source: Alexandria
Functional: PBE
Structure: optimized geometry

Properties
E_form in eV per atom: -0.290
Raw total energy in eV per atom: -2.721
Energy relative to the lowest polymorph listed for this composition in meV/atom: 0
Calculated volume in Å³ per cell: 315
Crystal system: orthorhombic

abc: 4.441 4.817 14.877
angles: 90.00 98.58 90.00
Element x y z (fractional)
Ba  0.927  0.750  0.854
Ba  0.073  0.250  0.146
Sr  0.205  0.750  0.409
Sr  0.795  0.250  0.591
Ag  0.621  0.750  0.243
Ag  0.379  0.250  0.757
Ag  0.525  0.750  0.050
Ag  0.475  0.250  0.950
Ag  0.676  0.250  0.352
Ag  0.324  0.750  0.648

# 4
Compound: Ba3SrAg
Source: Alexandria
Functional: PBE
Structure: optimized geometry

Properties
E_form in eV per atom: -0.073
Raw total energy in eV per atom: -2.133
Energy relative to the lowest polymorph listed for this composition in meV/atom: 34
Calculated volume in Å³ per cell: 527
Crystal system: monoclinic

abc: 7.532 8.812 8.261
angles: 90.00 90.00 106.22
Element x y z (fractional)
Ba  0.006  0.745  0.499
Ba  0.994  0.255  0.501
Ba  0.006  0.745  0.001
Ba  0.994  0.255  0.999
Ba  0.441  0.112  0.750
Ba  0.559  0.888  0.250
Sr  0.472  0.611  0.750
Sr  0.528  0.389  0.250
Ag  0.794  0.946  0.750
Ag  0.206  0.054  0.250

- Look up the raw total energy of the second one.
  -2.441 eV per atom

What did the fourth record say?
Compound: Ba3SrAg
Source: Alexandria
Functional: PBE
Structure: optimized geometry

Properties
E_form in eV per atom: -0.073
Raw total energy in eV per atom: -2.133
Energy relative to the lowest polymorph listed for this composition in meV/atom: 34
Calculated volume in Å³ per cell: 527
Crystal system: monoclinic

abc: 7.532 8.812 8.261
angles: 90.00 90.00 106.22
Element x y z (fractional)
Ba  0.006  0.745  0.499
Ba  0.994  0.255  0.501
Ba  0.006  0.745  0.001
Ba  0.994  0.255  0.999
Ba  0.441  0.112  0.750
Ba  0.559  0.888  0.250
Sr  0.472  0.611  0.750
Sr  0.528  0.389  0.250
Ag  0.794  0.946  0.750
Ag  0.206  0.054  0.250

- What is the formula in the first record?
  BaSrAg